# PrMgAg4 PBE relaxed
# Total magnetization, μB per formula unit: 0.0
# Total DFT energy (no corrections), eV per atom: -3.17
# Polymorph energy (0 for the lowest one), meV per atom: 0
# E_form, eV per atom: -0.20
# Crystal system: cubic
data_PrMgAg4
_chemical_formula_sum 'Pr1 Mg1 Ag4'
_symmetry_space_group_name_H-M 'P 1'
_symmetry_Int_Tables_number 1
_cell_length_a 5.6681
_cell_length_b 5.6681
_cell_length_c 5.6681
_cell_angle_alpha 60.00
_cell_angle_beta 60.00
_cell_angle_gamma 60.00
loop_
_symmetry_equiv_pos_as_xyz
'x,y,z'
loop_
_atom_site_label
_atom_site_fract_x
_atom_site_fract_y
_atom_site_fract_z
Pr1 0.0000 0.0000 0.0000
Mg1 0.2500 0.2500 0.2500
Ag1 0.1276 0.6241 0.6241
Ag2 0.6241 0.1276 0.6241
Ag3 0.6241 0.6241 0.1276
Ag4 0.6241 0.6241 0.6241